--- w ---
VASP calculation (PBEsol) on a relaxed Li2NiRh crystal.

Lattice parameters (Å, degrees): 4.7915 4.7915 4.6068 115.20 115.20 30.52
Sites, in units of the cell vectors:
Li (0.0000, 0.0000, 0.0000)
Li (0.2376, 0.2376, 0.9219)
Ni (0.4925, 0.4925, 0.4779)
Rh (0.7566, 0.7566, 0.4427)

## Properties
M_tot in μB/cell: 0.00
Mass density in g cm⁻³: 6.0
N(E_F) in states/eV/cell: 3.08
Crystal system: monoclinic

***

--- x ---
VASP calculation (PBEsol) on a relaxed Li2NiRh crystal.

Lattice parameters (Å, degrees): 2.6066 4.2406 4.3274 90.00 90.00 90.00
Sites, in units of the cell vectors:
Li (0.0000, 0.0000, 0.0000)
Li (0.5000, 0.5000, 0.0891)
Ni (0.5000, 0.0000, 0.5078)
Rh (0.0000, 0.5000, 0.5815)

## Properties
M_tot in μB/cell: 0.00
Mass density in g cm⁻³: 6.1
N(E_F) in states/eV/cell: 2.84
Crystal system: orthorhombic

***

--- y ---
VASP calculation (PBEsol) on a relaxed Li2NiRh crystal.

Lattice parameters (Å, degrees): 2.5109 4.2566 4.4673 90.00 92.46 90.00
Sites, in units of the cell vectors:
Li (0.2193, 0.0000, 0.2490)
Li (0.7807, 0.0000, 0.7510)
Ni (0.0000, 0.5000, 0.5000)
Rh (0.5000, 0.5000, 0.0000)

## Properties
M_tot in μB/cell: 0.00
Mass density in g cm⁻³: 6.1
N(E_F) in states/eV/cell: 3.01
Crystal system: monoclinic

***

--- z ---
VASP calculation (PBEsol) on a relaxed Li2NiRh crystal.

Lattice parameters (Å, degrees): 4.5087 4.5087 4.3944 100.99 100.99 32.89
Sites, in units of the cell vectors:
Li (0.2453, 0.2453, 0.2482)
Li (0.7547, 0.7547, 0.7518)
Ni (0.5000, 0.5000, 0.0000)
Rh (0.0000, 0.0000, 0.5000)

## Properties
M_tot in μB/cell: 0.01
Mass density in g cm⁻³: 6.1
N(E_F) in states/eV/cell: 3.21
Crystal system: monoclinic

***

Stability, lowest: w

***

--- w ---
VASP calculation (PBEsol) on a relaxed LiNiRh crystal.

Lattice parameters (Å, degrees): 6.7970 6.5727 2.5509 84.00 74.09 21.92
Sites, in units of the cell vectors:
Li (0.0000, 0.0000, 0.0000)
Ni (0.3360, 0.3360, 0.6640)
Rh (0.6712, 0.6712, 0.3288)

## Properties
M_tot in μB/cell: 0.80
Mass density in g cm⁻³: 7.5
N(E_F) in states/eV/cell: 4.27
Crystal system: orthorhombic

***

--- x ---
VASP calculation (PBEsol) on a relaxed LiNiRh crystal.

Lattice parameters (Å, degrees): 3.8835 3.8835 3.8835 60.00 60.00 60.00
Sites, in units of the cell vectors:
Li (0.0000, 0.0000, 0.0000)
Ni (0.7500, 0.7500, 0.7500)
Rh (0.5000, 0.5000, 0.5000)

## Properties
M_tot in μB/cell: 1.68
Mass density in g cm⁻³: 6.8
N(E_F) in states/eV/cell: 2.62
Crystal system: cubic

***

Stability, lowest: x

***

--- w ---
VASP calculation (PBEsol) on a relaxed LiNi2S2 crystal.

Lattice parameters (Å, degrees): 3.6120 3.6120 6.0384 90.00 90.00 120.00
Sites, in units of the cell vectors:
Li (0.0000, 0.0000, 0.0000)
Ni (0.3333, 0.6667, 0.3711)
Ni (0.6667, 0.3333, 0.6289)
S (0.3333, 0.6667, 0.7415)
S (0.6667, 0.3333, 0.2585)

## Properties
M_tot in μB/cell: 0.00
Mass density in g cm⁻³: 4.6
N(E_F) in states/eV/cell: 4.42
Crystal system: trigonal

***

--- x ---
VASP calculation (PBEsol) on a relaxed LiNi2S2 crystal.

Lattice parameters (Å, degrees): 6.8017 5.9177 7.3717 90.00 117.48 90.00
Sites, in units of the cell vectors:
Li (0.2495, 0.9999, 0.0000)
Li (0.2495, 0.5001, 0.5000)
Li (0.7505, 0.0001, 0.0000)
Li (0.7505, 0.4999, 0.5000)
Ni (0.0680, 0.1425, 0.6360)
Ni (0.0680, 0.3575, 0.1360)
Ni (0.4321, 0.6425, 0.8640)
Ni (0.4321, 0.8575, 0.3640)
Ni (0.5679, 0.1425, 0.6360)
Ni (0.5679, 0.3575, 0.1360)
Ni (0.9320, 0.6425, 0.8640)
Ni (0.9320, 0.8575, 0.3640)
S (0.0948, 0.7262, 0.1896)
S (0.0948, 0.7738, 0.6896)
S (0.4052, 0.2262, 0.3104)
S (0.4052, 0.2738, 0.8104)
S (0.5948, 0.7262, 0.1896)
S (0.5948, 0.7738, 0.6896)
S (0.9052, 0.2262, 0.3104)
S (0.9052, 0.2738, 0.8104)

## Properties
M_tot in μB/cell: 0.00
Mass density in g cm⁻³: 4.8
N(E_F) in states/eV/cell: 9.85
Crystal system: monoclinic

***

Stability, lowest: w

***

--- w ---
VASP calculation (PBEsol) on a relaxed SrLi2Ni crystal.

Lattice parameters (Å, degrees): 5.8286 5.8286 5.8286 43.74 43.74 43.74
Sites, in units of the cell vectors:
Sr (0.0000, 0.0000, 0.0000)
Li (0.5191, 0.5191, 0.5191)
Li (0.8081, 0.8081, 0.8081)
Ni (0.2032, 0.2032, 0.2032)

## Properties
M_tot in μB/cell: 0.00
Mass density in g cm⁻³: 3.1
N(E_F) in states/eV/cell: 1.58
Crystal system: trigonal

***

--- x ---
VASP calculation (PBEsol) on a relaxed SrLi2Ni crystal.

Lattice parameters (Å, degrees): 10.4988 10.4988 10.4988 157.30 157.30 32.32
Sites, in units of the cell vectors:
Sr (0.0000, 0.0000, 0.0000)
Sr (0.7500, 0.2500, 0.5000)
Li (0.2013, 0.6250, 0.0763)
Li (0.3750, 0.4513, 0.5763)
Li (0.5487, 0.1250, 0.9237)
Li (0.8750, 0.7987, 0.4237)
Ni (0.2500, 0.7500, 0.5000)
Ni (0.5000, 0.5000, 0.0000)

## Properties
M_tot in μB/cell: 0.00
Mass density in g cm⁻³: 3.1
N(E_F) in states/eV/cell: 4.14
Crystal system: tetragonal

***

Stability, lowest: x

***

--- w ---
VASP calculation (PBEsol) on a relaxed Li2TaNi crystal.

Lattice parameters (Å, degrees): 2.6520 3.9880 5.6101 90.00 103.67 90.00
Sites, in units of the cell vectors:
Li (0.0000, 0.0000, 0.0000)
Li (0.4043, 0.5000, 0.8104)
Ta (0.7283, 0.0000, 0.4602)
Ni (0.1475, 0.5000, 0.2989)

## Properties
M_tot in μB/cell: 0.00
Mass density in g cm⁻³: 7.3
N(E_F) in states/eV/cell: 3.45
Crystal system: monoclinic

***

--- x ---
VASP calculation (PBEsol) on a relaxed Li2TaNi crystal.

Lattice parameters (Å, degrees): 9.3318 9.3318 9.3318 16.56 16.56 16.56
Sites, in units of the cell vectors:
Li (0.2392, 0.2392, 0.2392)
Li (0.7608, 0.7608, 0.7608)
Ta (0.0000, 0.0000, 0.0000)
Ni (0.5000, 0.5000, 0.5000)

## Properties
M_tot in μB/cell: 0.01
Mass density in g cm⁻³: 7.3
N(E_F) in states/eV/cell: 2.61
Crystal system: trigonal

***

--- y ---
VASP calculation (PBEsol) on a relaxed Li2TaNi crystal.

Lattice parameters (Å, degrees): 5.3623 5.3623 5.3623 101.62 101.62 126.66
Sites, in units of the cell vectors:
Li (0.0833, 0.6250, 0.9583)
Li (0.3750, 0.3333, 0.4583)
Li (0.6667, 0.1250, 0.0417)
Li (0.8750, 0.9167, 0.5417)
Ta (0.2500, 0.7500, 0.5000)
Ta (0.5000, 0.5000, 0.0000)
Ni (0.0000, 0.0000, 0.0000)
Ni (0.7500, 0.2500, 0.5000)

## Properties
M_tot in μB/cell: 0.00
Mass density in g cm⁻³: 7.6
N(E_F) in states/eV/cell: 8.95
Crystal system: tetragonal

***

Stability, lowest: y

***

--- w ---
VASP calculation (PBEsol) on a relaxed LiTa2Ni crystal.

Lattice parameters (Å, degrees): 3.1413 3.1413 5.7416 90.00 90.00 90.00
Sites, in units of the cell vectors:
Li (0.0000, 0.0000, 0.0000)
Ta (0.5000, 0.5000, 0.2526)
Ta (0.5000, 0.5000, 0.7474)
Ni (0.0000, 0.0000, 0.5000)

## Properties
M_tot in μB/cell: 0.00
Mass density in g cm⁻³: 12.5
N(E_F) in states/eV/cell: 3.91
Crystal system: tetragonal

***

--- x ---
VASP calculation (PBEsol) on a relaxed LiTa2Ni crystal.

Lattice parameters (Å, degrees): 4.6838 4.6838 4.6838 131.15 131.15 71.58
Sites, in units of the cell vectors:
Li (0.0000, 0.0000, 0.0000)
Ta (0.2500, 0.7500, 0.5000)
Ta (0.7500, 0.2500, 0.5000)
Ni (0.5000, 0.5000, 0.0000)

## Properties
M_tot in μB/cell: 0.00
Mass density in g cm⁻³: 12.5
N(E_F) in states/eV/cell: 3.53
Crystal system: tetragonal

***

Stability, lowest: w

***

--- w ---
VASP calculation (PBEsol) on a relaxed LiNiTe crystal.

Lattice parameters (Å, degrees): 4.1202 4.1202 4.1202 60.00 60.00 60.00
Sites, in units of the cell vectors:
Li (0.0000, 0.0000, 0.0000)
Ni (0.7500, 0.7500, 0.7500)
Te (0.5000, 0.5000, 0.5000)

## Properties
M_tot in μB/cell: 0.00
Mass density in g cm⁻³: 6.5
N(E_F) in states/eV/cell: 1.83
Crystal system: cubic

***

--- x ---
VASP calculation (PBEsol) on a relaxed LiNiTe crystal.

Lattice parameters (Å, degrees): 4.1931 4.1931 4.1931 60.00 60.00 60.00
Sites, in units of the cell vectors:
Li (0.0000, 0.0000, 0.0000)
Ni (0.5000, 0.5000, 0.5000)
Te (0.7500, 0.7500, 0.7500)

## Properties
M_tot in μB/cell: 0.00
Mass density in g cm⁻³: 6.2
N(E_F) in states/eV/cell: 2.29
Crystal system: cubic

***

Stability, lowest: x

***

--- w ---
VASP calculation (PBEsol) on a relaxed Li2NiW crystal.

Lattice parameters (Å, degrees): 4.4053 4.4053 5.0774 96.38 96.38 33.27
Sites, in units of the cell vectors:
Li (0.0000, 0.0000, 0.0000)
Li (0.2412, 0.2412, 0.8084)
Ni (0.5129, 0.5129, 0.4994)
W (0.7637, 0.7637, 0.3343)

## Properties
M_tot in μB/cell: 0.00
Mass density in g cm⁻³: 7.9
N(E_F) in states/eV/cell: 2.46
Crystal system: monoclinic

***

--- x ---
VASP calculation (PBEsol) on a relaxed Li2NiW crystal.

Lattice parameters (Å, degrees): 2.5203 4.6390 4.4925 90.00 93.05 90.00
Sites, in units of the cell vectors:
Li (0.1714, 0.0000, 0.2547)
Li (0.8286, 0.0000, 0.7453)
Ni (0.0000, 0.5000, 0.5000)
W (0.5000, 0.5000, 0.0000)

## Properties
M_tot in μB/cell: 0.00
Mass density in g cm⁻³: 8.1
N(E_F) in states/eV/cell: 2.27
Crystal system: monoclinic

***

Stability, lowest: w

***

--- w ---
VASP calculation (PBEsol) on a relaxed Li2NiW crystal.

Lattice parameters (Å, degrees): 5.2043 5.2043 5.2043 101.99 101.99 125.77
Sites, in units of the cell vectors:
Li (0.0905, 0.1250, 0.4655)
Li (0.3750, 0.9095, 0.0345)
Li (0.6595, 0.6250, 0.5345)
Li (0.8750, 0.3405, 0.9655)
Ni (0.0000, 0.0000, 0.0000)
Ni (0.7500, 0.2500, 0.5000)
W (0.2500, 0.7500, 0.5000)
W (0.5000, 0.5000, 0.0000)

## Properties
M_tot in μB/cell: 0.00
Mass density in g cm⁻³: 8.4
N(E_F) in states/eV/cell: 5.72
Crystal system: tetragonal

***

--- x ---
VASP calculation (PBEsol) on a relaxed Li2NiW crystal.

Lattice parameters (Å, degrees): 4.0745 4.0745 4.0745 60.00 60.00 60.00
Sites, in units of the cell vectors:
Li (0.0000, 0.0000, 0.0000)
Li (0.2500, 0.2500, 0.2500)
Ni (0.7500, 0.7500, 0.7500)
W (0.5000, 0.5000, 0.5000)

## Properties
M_tot in μB/cell: 0.00
Mass density in g cm⁻³: 8.9
N(E_F) in states/eV/cell: 0.70
Crystal system: cubic

***

Stability, lowest: w

***

--- w ---
VASP calculation (PBEsol) on a relaxed Li2NiW crystal.

Lattice parameters (Å, degrees): 2.5248 3.9926 5.4526 90.00 102.93 90.00
Sites, in units of the cell vectors:
Li (0.0000, 0.0000, 0.0000)
Li (0.3909, 0.5000, 0.7993)
Ni (0.1335, 0.5000, 0.2974)
W (0.7164, 0.0000, 0.4652)

## Properties
M_tot in μB/cell: 0.00
Mass density in g cm⁻³: 7.9
N(E_F) in states/eV/cell: 2.45
Crystal system: monoclinic

***

--- x ---
VASP calculation (PBEsol) on a relaxed Li2NiW crystal.

Lattice parameters (Å, degrees): 5.3175 5.3175 2.5272 102.32 102.32 123.81
Sites, in units of the cell vectors:
Li (0.0000, 0.5000, 0.0000)
Li (0.5000, 0.0000, 0.0000)
Ni (0.0000, 0.0000, 0.5000)
W (0.5000, 0.5000, 0.5000)

## Properties
M_tot in μB/cell: 0.00
Mass density in g cm⁻³: 8.0
N(E_F) in states/eV/cell: 2.38
Crystal system: monoclinic

***

--- y ---
VASP calculation (PBEsol) on a relaxed Li2NiW crystal.

Lattice parameters (Å, degrees): 2.5125 2.5125 8.3905 90.00 90.00 90.00
Sites, in units of the cell vectors:
Li (0.0000, 0.0000, 0.2218)
Li (0.0000, 0.0000, 0.7782)
Ni (0.5000, 0.5000, 0.0000)
W (0.5000, 0.5000, 0.5000)

## Properties
M_tot in μB/cell: 0.15
Mass density in g cm⁻³: 8.0
N(E_F) in states/eV/cell: 3.71
Crystal system: tetragonal

***

Stability, lowest: y

***

--- w ---
VASP calculation (PBEsol) on a relaxed LiZnNi crystal.

Lattice parameters (Å, degrees): 4.3896 4.3896 4.3896 146.24 130.79 61.02
Sites, in units of the cell vectors:
Li (0.0000, 0.0000, 0.0000)
Zn (0.3253, 0.3253, 0.0000)
Ni (0.6713, 0.6713, 0.0000)

## Properties
M_tot in μB/cell: 0.00
Mass density in g cm⁻³: 6.2
N(E_F) in states/eV/cell: 1.15
Crystal system: orthorhombic

***

--- x ---
VASP calculation (PBEsol) on a relaxed LiZnNi crystal.

Lattice parameters (Å, degrees): 3.8049 3.8049 3.8049 60.00 60.00 60.00
Sites, in units of the cell vectors:
Li (0.0000, 0.0000, 0.0000)
Zn (0.2500, 0.2500, 0.2500)
Ni (0.7500, 0.7500, 0.7500)

## Properties
M_tot in μB/cell: 0.00
Mass density in g cm⁻³: 5.6
N(E_F) in states/eV/cell: 1.28
Crystal system: cubic

***

Stability, lowest: x

***

--- w ---
VASP calculation (PBEsol) on a relaxed LiZnNi crystal.

Lattice parameters (Å, degrees): 4.0107 4.0107 2.4900 90.00 90.00 120.00
Sites, in units of the cell vectors:
Li (0.0000, 0.0000, 0.0000)
Zn (0.6667, 0.3333, 0.6612)
Ni (0.3333, 0.6667, 0.2654)

## Properties
M_tot in μB/cell: 0.00
Mass density in g cm⁻³: 6.3
N(E_F) in states/eV/cell: 1.13
Crystal system: trigonal

***

--- x ---
VASP calculation (PBEsol) on a relaxed LiZnNi crystal.

Lattice parameters (Å, degrees): 5.1734 5.1734 5.1734 149.18 149.18 44.14
Sites, in units of the cell vectors:
Li (0.0000, 0.0000, 0.0000)
Zn (0.6853, 0.6853, 0.0000)
Ni (0.3364, 0.3364, 0.0000)

## Properties
M_tot in μB/cell: 0.00
Mass density in g cm⁻³: 6.0
N(E_F) in states/eV/cell: 0.87
Crystal system: tetragonal

***

Stability, lowest: x